Entry from Alexandria via LeMat-Bulk: TcPdF2 after structural relaxation (GGA-PBE).

The structure in CIF format:
```
data_TcPdF2
_symmetry_space_group_name_H-M 'P 1'
_symmetry_Int_Tables_number 1
_cell_length_a 8.3606
_cell_length_b 8.3606
_cell_length_c 8.3606
_cell_angle_alpha 18.71
_cell_angle_beta 18.71
_cell_angle_gamma 18.71
loop_
_symmetry_equiv_pos_as_xyz
'x,y,z'
loop_
_atom_site_label
_atom_site_type_symbol
_atom_site_fract_x
_atom_site_fract_y
_atom_site_fract_z
Tc1 Tc 0.0000 0.0000 0.0000
Pd1 Pd 0.5000 0.5000 0.5000
F1 F 0.0790 0.0790 0.0790
F2 F 0.9210 0.9210 0.9210
```

Output
- symmetry = No. 166
- energy relative to the elements, uncorrected (eV per atom) = -0.71
- final energy (eV for the cell shown) = -22.1

---

Entry from Alexandria via LeMat-Bulk: NaTcGe2 after structural relaxation (GGA-PBE).

The structure in CIF format:
```
data_NaTcGe2
_symmetry_space_group_name_H-M 'P 1'
_symmetry_Int_Tables_number 1
_cell_length_a 8.4890
_cell_length_b 8.4890
_cell_length_c 8.4890
_cell_angle_alpha 141.53
_cell_angle_beta 141.53
_cell_angle_gamma 55.54
loop_
_symmetry_equiv_pos_as_xyz
'x,y,z'
loop_
_atom_site_label
_atom_site_type_symbol
_atom_site_fract_x
_atom_site_fract_y
_atom_site_fract_z
Na1 Na 0.0000 0.0000 0.0000
Na2 Na 0.7500 0.2500 0.5000
Tc1 Tc 0.2500 0.7500 0.5000
Tc2 Tc 0.5000 0.5000 0.0000
Ge1 Ge 0.3339 0.6250 0.2089
Ge2 Ge 0.3750 0.5839 0.7089
Ge3 Ge 0.4161 0.1250 0.7911
Ge4 Ge 0.8750 0.6661 0.2911
```

Output
- calculated formation energy (eV/atom) = 0.302
- symmetry = No. 122
- final energy (eV for the cell shown) = -39.4

---

Entry from Alexandria via LeMat-Bulk: LiPmP2 after structural relaxation (GGA-PBE).

The structure in CIF format:
```
data_LiPmP2
_symmetry_space_group_name_H-M 'P 1'
_symmetry_Int_Tables_number 1
_cell_length_a 3.9075
_cell_length_b 4.6797
_cell_length_c 4.6797
_cell_angle_alpha 72.38
_cell_angle_beta 90.00
_cell_angle_gamma 90.00
loop_
_symmetry_equiv_pos_as_xyz
'x,y,z'
loop_
_atom_site_label
_atom_site_type_symbol
_atom_site_fract_x
_atom_site_fract_y
_atom_site_fract_z
Li1 Li 0.0000 0.0000 0.0000
Pm1 Pm 0.5000 0.4454 0.4454
P1 P 0.0000 0.5190 0.9210
P2 P 0.0000 0.9210 0.5190
```

Output
- calculated formation energy (eV/atom) = -0.812
- symmetry = No. 38
- final energy (eV for the cell shown) = -20.7

---

Entry from Alexandria via LeMat-Bulk: BaAlCo3 after structural relaxation (GGA-PBE).

The structure in CIF format:
```
data_BaAlCo3
_symmetry_space_group_name_H-M 'P 1'
_symmetry_Int_Tables_number 1
_cell_length_a 4.8288
_cell_length_b 4.8288
_cell_length_c 4.8288
_cell_angle_alpha 90.00
_cell_angle_beta 90.00
_cell_angle_gamma 90.00
loop_
_symmetry_equiv_pos_as_xyz
'x,y,z'
loop_
_atom_site_label
_atom_site_type_symbol
_atom_site_fract_x
_atom_site_fract_y
_atom_site_fract_z
Ba1 Ba 0.0000 0.0000 0.0000
Al1 Al 0.5000 0.5000 0.5000
Co1 Co 0.0000 0.0000 0.5000
Co2 Co 0.0000 0.5000 0.0000
Co3 Co 0.5000 0.0000 0.0000
```

Output
- calculated formation energy (eV/atom) = 2.155
- symmetry = No. 221
- final energy (eV for the cell shown) = -16.2

---

Entry from Alexandria via LeMat-Bulk: La9Nd4Cd11 after structural relaxation (GGA-PBE).

The structure in CIF format:
```
data_La9Nd4Cd11
_symmetry_space_group_name_H-M 'P 1'
_symmetry_Int_Tables_number 1
_cell_length_a 14.4381
_cell_length_b 14.4381
_cell_length_c 3.7030
_cell_angle_alpha 90.00
_cell_angle_beta 90.00
_cell_angle_gamma 110.62
loop_
_symmetry_equiv_pos_as_xyz
'x,y,z'
loop_
_atom_site_label
_atom_site_type_symbol
_atom_site_fract_x
_atom_site_fract_y
_atom_site_fract_z
La1 La 0.0000 0.0000 0.0000
La2 La 0.1217 0.6535 0.0000
La3 La 0.2922 0.4681 0.0000
La4 La 0.3465 0.8783 0.0000
La5 La 0.4681 0.2922 0.0000
La6 La 0.5319 0.7078 0.0000
La7 La 0.6535 0.1217 0.0000
La8 La 0.7078 0.5319 0.0000
La9 La 0.8783 0.3465 0.0000
Nd1 Nd 0.0683 0.2501 0.0000
Nd2 Nd 0.2501 0.0683 0.0000
Nd3 Nd 0.7499 0.9317 0.0000
Nd4 Nd 0.9317 0.7499 0.0000
Cd1 Cd 0.0864 0.4493 0.5000
Cd2 Cd 0.1308 0.8692 0.5000
Cd3 Cd 0.2588 0.2588 0.5000
Cd4 Cd 0.3272 0.6728 0.5000
Cd5 Cd 0.4493 0.0864 0.5000
Cd6 Cd 0.5000 0.5000 0.5000
Cd7 Cd 0.5507 0.9136 0.5000
Cd8 Cd 0.6728 0.3272 0.5000
Cd9 Cd 0.7412 0.7412 0.5000
Cd10 Cd 0.8692 0.1308 0.5000
Cd11 Cd 0.9136 0.5507 0.5000
```

Output
- calculated formation energy (eV/atom) = -0.266
- symmetry = No. 65
- final energy (eV for the cell shown) = -79.9

---

Entry from Alexandria via LeMat-Bulk: Fe2PC after structural relaxation (GGA-PBE).

The structure in CIF format:
```
data_Fe2PC
_symmetry_space_group_name_H-M 'P 1'
_symmetry_Int_Tables_number 1
_cell_length_a 3.7135
_cell_length_b 3.7135
_cell_length_c 3.0119
_cell_angle_alpha 90.00
_cell_angle_beta 90.00
_cell_angle_gamma 90.00
loop_
_symmetry_equiv_pos_as_xyz
'x,y,z'
loop_
_atom_site_label
_atom_site_type_symbol
_atom_site_fract_x
_atom_site_fract_y
_atom_site_fract_z
Fe1 Fe 0.0000 0.5000 0.0000
Fe2 Fe 0.5000 0.0000 0.0000
P1 P 0.0000 0.0000 0.5000
C1 C 0.5000 0.5000 0.0000
```

Output
- calculated formation energy (eV/atom) = 0.137
- symmetry = No. 123
- final energy (eV for the cell shown) = -31.0

---

Entry from Alexandria via LeMat-Bulk: LiVCd after structural relaxation (GGA-PBE).

The structure in CIF format:
```
data_LiVCd
_symmetry_space_group_name_H-M 'P 1'
_symmetry_Int_Tables_number 1
_cell_length_a 3.0211
_cell_length_b 5.4204
_cell_length_c 6.8966
_cell_angle_alpha 67.89
_cell_angle_beta 81.45
_cell_angle_gamma 76.90
loop_
_symmetry_equiv_pos_as_xyz
'x,y,z'
loop_
_atom_site_label
_atom_site_type_symbol
_atom_site_fract_x
_atom_site_fract_y
_atom_site_fract_z
Li1 Li 0.1631 0.0073 0.1641
Li2 Li 0.8369 0.9927 0.8359
V1 V 0.1300 0.5058 0.6239
V2 V 0.8700 0.4942 0.3761
Cd1 Cd 0.5000 0.0000 0.5000
Cd2 Cd 0.5000 0.5000 0.0000
```

Output
- calculated formation energy (eV/atom) = 0.176
- symmetry = No. 2
- final energy (eV for the cell shown) = -22.8

---

Entry from Alexandria via LeMat-Bulk: Tm2MgGa after structural relaxation (GGA-PBE).

The structure in CIF format:
```
data_Tm2MgGa
_symmetry_space_group_name_H-M 'P 1'
_symmetry_Int_Tables_number 1
_cell_length_a 3.6124
_cell_length_b 3.6124
_cell_length_c 7.3421
_cell_angle_alpha 90.00
_cell_angle_beta 90.00
_cell_angle_gamma 90.00
loop_
_symmetry_equiv_pos_as_xyz
'x,y,z'
loop_
_atom_site_label
_atom_site_type_symbol
_atom_site_fract_x
_atom_site_fract_y
_atom_site_fract_z
Tm1 Tm 0.0000 0.0000 0.2318
Tm2 Tm 0.0000 0.0000 0.7682
Mg1 Mg 0.5000 0.5000 0.5000
Ga1 Ga 0.5000 0.5000 0.0000
```

Output
- calculated formation energy (eV/atom) = -0.332
- symmetry = No. 123
- final energy (eV for the cell shown) = -14.9

---

Repeat the third record exactly.
Entry from Alexandria via LeMat-Bulk: LiPmP2 after structural relaxation (GGA-PBE).

The structure in CIF format:
```
data_LiPmP2
_symmetry_space_group_name_H-M 'P 1'
_symmetry_Int_Tables_number 1
_cell_length_a 3.9075
_cell_length_b 4.6797
_cell_length_c 4.6797
_cell_angle_alpha 72.38
_cell_angle_beta 90.00
_cell_angle_gamma 90.00
loop_
_symmetry_equiv_pos_as_xyz
'x,y,z'
loop_
_atom_site_label
_atom_site_type_symbol
_atom_site_fract_x
_atom_site_fract_y
_atom_site_fract_z
Li1 Li 0.0000 0.0000 0.0000
Pm1 Pm 0.5000 0.4454 0.4454
P1 P 0.0000 0.5190 0.9210
P2 P 0.0000 0.9210 0.5190
```

Output
- calculated formation energy (eV/atom) = -0.812
- symmetry = No. 38
- final energy (eV for the cell shown) = -20.7

---

The highest final energy belongs to which entry? Tm2MgGa